No. 1
An optimized crystal structure of LaScNi2, computed with PBE.

Lattice parameters (Å, degrees): 3.9335 3.9335 9.7049 90.00 90.00 90.00
Last column: nearest neighbours and their distance in Å.
Space group I-4m2 (No. 119)
Symmetry-distinct sites (fractional):
1 La 0.0000 0.0000 0.0000 (multiplicity 2)  4 Ni 2.78
2 Sc 0.0000 0.5000 0.2500 (multiplicity 2)  4 Ni 2.78
3 Ni 0.0000 0.0000 0.5000 (multiplicity 2)  4 La 2.78
4 Ni 0.0000 0.5000 0.7500 (multiplicity 2)  4 Sc 2.78

E   -5.81 eV per atom
Energy of formation   -0.1043 eV per atom
ΔE to the lowest computed polymorph   0.2571 eV per atom



No. 2
An optimized crystal structure of Dy5RhAu2, computed with PBE.

Lattice parameters (Å, degrees): 7.2996 11.6070 4.7693 90.00 90.00 90.00
Last column: nearest neighbours and their distance in Å.
Space group Pbam (No. 55)
Symmetry-distinct sites (fractional):
1 Dy 0.0000 0.0000 0.0000 (multiplicity 2)  4 Au 3.08
2 Dy 0.1532 0.2932 0.0000 (multiplicity 4)  1 Rh 2.65
3 Dy 0.1802 0.5862 0.5000 (multiplicity 4)  2 Rh 2.90, 2 Au 2.97-3.03
4 Rh 0.0000 0.5000 0.0000 (multiplicity 2)  6 Dy 2.65-2.90
5 Au 0.0693 0.8379 0.5000 (multiplicity 4)  8 Dy 2.97-3.26

E   -5.31 eV per atom
Energy of formation   -0.7001 eV per atom



No. 3
An optimized crystal structure of YCd2Au, computed with PBE.

Lattice parameters (Å, degrees): 4.0518 4.0518 22.0592 90.00 90.00 120.00
Last column: nearest neighbours and their distance in Å.
Space group R3m (No. 160, hexagonal axes)
Symmetry-distinct sites (fractional):
1 Y 0.0000 0.0000 0.0000 (multiplicity 3)  3 Au 2.90, 3 Cd 3.23
2 Cd 0.0000 0.0000 0.2326 (multiplicity 3)  3 Cd 2.95, 3 Y 3.23
3 Cd 0.0000 0.0000 0.4847 (multiplicity 3)  3 Au 2.85, 3 Cd 2.95
4 Au 0.0000 0.0000 0.7443 (multiplicity 3)  3 Cd 2.85, 3 Y 2.90

E   -3.17 eV per atom
Energy of formation   -0.2739 eV per atom



No. 4
An optimized crystal structure of MnAl2Cr3, computed with PBE.

Lattice parameters (Å, degrees): 2.9177 2.9177 8.6973 90.00 90.00 90.00
Last column: nearest neighbours and their distance in Å.
Space group P4mm (No. 99)
Symmetry-distinct sites (fractional):
1 Mn 0.0000 0.0000 0.0000 (multiplicity 1)  4 Cr 2.39, 4 Al 2.57
2 Al 0.0000 0.0000 0.3211 (multiplicity 1)  9 Cr 2.60-2.76, 1 Mn 2.79
3 Al 0.5000 0.5000 0.8239 (multiplicity 1)  4 Mn 2.57, 6 Cr 2.62-2.76
4 Cr 0.0000 0.0000 0.6384 (multiplicity 1)  4 Cr 2.36, 4 Al 2.62
5 Cr 0.5000 0.5000 0.1398 (multiplicity 1)  4 Mn 2.39, 4 Al 2.60
6 Cr 0.5000 0.5000 0.5067 (multiplicity 1)  4 Cr 2.36, 4 Al 2.62

E   -7.76 eV per atom
Energy of formation   -0.1728 eV per atom



No. 5
An optimized crystal structure of Cs2SrGeSe4, computed with PBE.

Lattice parameters (Å, degrees): 6.8333 15.1158 26.9712 90.00 90.00 90.00
Last column: nearest neighbours and their distance in Å.
Space group Fddd (No. 70, origin choice 2)
Symmetry-distinct sites (fractional):
1 Cs 0.1250 0.1250 0.3088 (multiplicity 16)  4 Se 3.81-3.95
2 Sr 0.1250 0.1250 0.1250 (multiplicity 8)  4 Se 2.93
3 Ge 0.1250 0.1250 0.6250 (multiplicity 8)  4 Se 2.41
4 Se 0.0654 0.2775 0.8230 (multiplicity 32)  1 Ge 2.41

Formation energy without anion corrections   -8.4 eV per formula unit
E   -3.80 eV per atom



No. 6
An optimized crystal structure of HoAu5, computed with PBE.

Lattice parameters (Å, degrees): 5.0323 8.9009 5.1892 90.00 90.01 90.00
Last column: nearest neighbours and their distance in Å.
Space group P2_1/m (No. 11)
Symmetry-distinct sites (fractional):
1 Ho 0.2493 0.2500 0.0948 (multiplicity 2)  12 Au 2.99-3.06
2 Au 0.2496 0.0793 0.5932 (multiplicity 4)  10 Au 2.93-3.08, 2 Ho 3.00-3.01
3 Au 0.2503 0.5864 0.0874 (multiplicity 4)  9 Au 2.91-3.09, 3 Ho 2.99-3.06
4 Au 0.2510 0.7500 0.5816 (multiplicity 2)  10 Au 2.93-3.08, 2 Ho 3.02-3.03

E   -3.95 eV per atom
Energy of formation   -0.4584 eV per atom



No. 7
An optimized crystal structure of TlInPb2F8, computed with PBE.

Lattice parameters (Å, degrees): 4.4341 8.1969 5.8429 90.00 97.26 90.00
Last column: nearest neighbours and their distance in Å.
Space group P2/m (No. 10)
Symmetry-distinct sites (fractional):
1 Tl 0.0000 0.0000 0.0000 (multiplicity 1)  8 F 2.74-2.89
2 In 0.0000 0.5000 0.0000 (multiplicity 1)  6 F 2.14-2.16
3 Pb 0.5000 0.2523 0.5000 (multiplicity 2)  8 F 2.45-2.73
4 F 0.0472 0.3049 0.7587 (multiplicity 4)  1 In 2.16
5 F 0.4295 0.5000 0.2119 (multiplicity 2)  1 In 2.14
6 F 0.4566 0.0000 0.7193 (multiplicity 2)  2 Pb 2.45, 1 F 2.64, 1 Tl 2.74

Formation energy without anion corrections   -27.7 eV per formula unit
E   -4.60 eV per atom



No. 8
An optimized crystal structure of Tc2Ru4Rh3, computed with PBE.

Lattice parameters (Å, degrees): 12.4774 9.0642 4.6660 90.00 99.16 90.00
Last column: nearest neighbours and their distance in Å.
Space group C2/c (No. 15)
Symmetry-distinct sites (fractional):
1 Tc 0.2319 0.1142 0.3822 (multiplicity 8)  3 Ru 2.52-2.67, 4 Rh 2.59-2.72, 1 Tc 2.70
2 Ru 0.0625 0.3903 0.5448 (multiplicity 8)  2 Ru 2.52-2.65, 1 Tc 2.53, 4 Rh 2.57-2.76
3 Ru 0.1044 0.1019 0.7894 (multiplicity 8)  2 Tc 2.52-2.67, 1 Ru 2.57, 4 Rh 2.65-2.73
4 Rh 0.0000 0.1579 0.2500 (multiplicity 4)  8 Ru 2.57-2.73
5 Rh 0.1690 0.3459 0.0779 (multiplicity 8)  4 Tc 2.59-2.72, 6 Ru 2.65-2.88, 1 Rh 2.85

E   -8.73 eV per atom
Energy of formation   0.1511 eV per atom



No. 9
An optimized crystal structure of Y2OsAu, computed with PBE.

Lattice parameters (Å, degrees): 4.2078 4.2078 9.6519 90.00 90.00 90.00
Last column: nearest neighbours and their distance in Å.
Space group I-4m2 (No. 119)
Symmetry-distinct sites (fractional):
1 Y 0.0000 0.0000 0.0000 (multiplicity 2)  4 Os 2.98, 4 Au 3.20, 4 Y 3.20
2 Y 0.0000 0.5000 0.2500 (multiplicity 2)  4 Au 2.98, 4 Os 3.20, 4 Y 3.20
3 Os 0.0000 0.0000 0.5000 (multiplicity 2)  8 Y 2.98-3.20, 4 Au 3.20
4 Au 0.0000 0.5000 0.7500 (multiplicity 2)  8 Y 2.98-3.20, 4 Os 3.20

E   -7.05 eV per atom
Energy of formation   -0.1939 eV per atom



No. 10
An optimized crystal structure of YZr2Br, computed with PBE.

Lattice parameters (Å, degrees): 3.3592 5.4047 5.6997 90.00 90.00 90.00
Last column: nearest neighbours and their distance in Å.
Space group Pmmm (No. 47)
Symmetry-distinct sites (fractional):
1 Y 0.0000 0.0000 0.0000 (multiplicity 1)  2 Br 2.85
2 Zr 0.5000 0.5000 0.2348 (multiplicity 2)  1 Zr 2.68
3 Br 0.0000 0.0000 0.5000 (multiplicity 1)  2 Y 2.85

Formation energy without anion corrections   0.3 eV per formula unit
E   -6.23 eV per atom
ΔE to the lowest computed polymorph   0.3982 eV per atom



No. 11
An optimized crystal structure of SrGdTmMg, computed with PBE.

Lattice parameters (Å, degrees): 8.0759 8.0759 8.0759 90.00 90.00 90.00
Last column: nearest neighbours and their distance in Å.
Space group F-43m (No. 216)
Symmetry-distinct sites (fractional):
1 Sr 0.0000 0.0000 0.0000 (multiplicity 4)  4 Mg 3.50, 4 Tm 3.50
2 Gd 0.0000 0.0000 0.5000 (multiplicity 4)  4 Mg 3.50, 4 Tm 3.50
3 Tm 0.2500 0.2500 0.7500 (multiplicity 4)  4 Gd 3.50, 4 Sr 3.50
4 Mg 0.2500 0.2500 0.2500 (multiplicity 4)  4 Gd 3.50, 4 Sr 3.50

E   -5.31 eV per atom
Energy of formation   0.1453 eV per atom



No. 12
An optimized crystal structure of AcDy2ErAs4, computed with PBE.

Lattice parameters (Å, degrees): 7.3182 4.2274 7.3211 90.00 109.38 90.00
Last column: nearest neighbours and their distance in Å.
Space group P2/m (No. 10)
Symmetry-distinct sites (fractional):
1 Ac 0.0000 0.0000 0.0000 (multiplicity 1)  6 As 3.08-3.09
2 Dy 0.0000 0.5000 0.5000 (multiplicity 1)  6 As 3.00
3 Dy 0.5000 0.0000 0.5000 (multiplicity 1)  6 As 2.90
4 Er 0.5000 0.5000 0.0000 (multiplicity 1)  6 As 2.98
5 As 0.2591 0.0000 0.7439 (multiplicity 2)  3 Dy 2.90-3.00, 2 Er 2.98, 1 Ac 3.08
6 As 0.2667 0.5000 0.2650 (multiplicity 2)  3 Dy 2.90-3.00, 1 Er 2.98, 2 Ac 3.09

E   -6.02 eV per atom
Energy of formation   -1.4642 eV per atom